Material: CaHfBi3
Method: DFT, PBE
State: relaxed

Cell: 6.665 6.512 13.950 Å, 90.00 90.00 90.00°
Element x y z (fractional)
Ca1 0.250 0.519 0.317
Ca2 0.250 0.019 0.683
Ca3 0.750 0.481 0.683
Ca4 0.750 0.981 0.317
Bi1 0.250 0.632 0.077
Bi2 0.750 0.989 0.762
Bi3 0.500 0.750 0.507
Bi4 0.750 0.368 0.923
Bi5 0.250 0.132 0.923
Bi6 0.250 0.011 0.238
Bi7 0.000 0.750 0.507
Bi8 0.750 0.489 0.238
Bi9 0.000 0.250 0.493
Bi10 0.500 0.250 0.493
Bi11 0.250 0.511 0.762
Bi12 0.750 0.868 0.077
Hf1 0.500 0.250 0.095
Hf2 0.000 0.250 0.095
Hf3 0.000 0.750 0.905
Hf4 0.500 0.750 0.905

Calculated values
Its final energy is -0.1865 hartree per atom. The value obtained for the formation enthalpy at 0 K is -1.78 eV per formula unit. For the energy above the most stable polymorph in this dataset, the calculation gives 0 meV/atom. The density of states at the Fermi level is 2.85 states/eV/f.u. As for the volume: 30.28 A^3/atom.

---

Material: Ca2HfBi
Method: DFT, PBE
State: relaxed

Cell: 8.983 8.983 7.086 Å, 50.67 50.67 90.00°
Element x y z (fractional)
Bi1 0.750 0.250 0.500
Bi2 0.000 0.000 0.000
Ca1 0.647 0.125 0.250
Ca2 0.875 0.897 0.750
Ca3 0.375 0.353 0.750
Ca4 0.103 0.625 0.250
Hf1 0.250 0.750 0.500
Hf2 0.500 0.500 0.000

Calculated values
Its final energy is -0.1519 hartree per atom. The value obtained for the formation enthalpy at 0 K is 1.31 eV per formula unit. The density of states at the Fermi level is 5.34 states/eV/f.u. As for the volume: 31.68 A^3/atom.

---

Material: CaHfBi3
Method: DFT, PBE
State: relaxed

Cell: 5.668 5.668 5.668 Å, 90.00 90.00 90.00°
Element x y z (fractional)
Bi1 0.000 0.500 0.000
Bi2 0.500 0.000 0.000
Bi3 0.000 0.000 0.500
Ca1 0.500 0.500 0.500
Hf1 0.000 0.000 0.000

Calculated values
Its final energy is -0.1742 hartree per atom. The value obtained for the formation enthalpy at 0 K is -0.10 eV per formula unit. For the energy above the most stable polymorph in this dataset, the calculation gives 337 meV/atom. The density of states at the Fermi level is 2.99 states/eV/f.u. As for the volume: 36.42 A^3/atom.

---

Material: CaHfBi
Method: DFT, PBE
State: relaxed

Cell: 4.424 4.424 8.518 Å, 90.00 90.00 90.00°
Element x y z (fractional)
Bi1 0.500 0.000 0.763
Bi2 0.000 0.500 0.237
Ca1 0.000 0.500 0.838
Ca2 0.500 0.000 0.162
Hf1 0.000 0.000 0.500
Hf2 0.500 0.500 0.500

Calculated values
Its final energy is -0.2109 hartree per atom. The value obtained for the formation enthalpy at 0 K is -1.38 eV per formula unit. The density of states at the Fermi level is 1.36 states/eV/f.u. As for the volume: 27.78 A^3/atom.

---

Material: CaHfBi2
Method: DFT, PBE
State: relaxed

Cell: 8.292 8.292 6.841 Å, 52.70 52.70 90.00°
Element x y z (fractional)
Bi1 0.105 0.625 0.250
Bi2 0.645 0.125 0.250
Bi3 0.875 0.895 0.750
Bi4 0.375 0.355 0.750
Ca1 0.250 0.750 0.500
Ca2 0.500 0.500 0.000
Hf1 0.750 0.250 0.500
Hf2 0.000 0.000 0.000

Calculated values
Its final energy is -0.1868 hartree per atom. The value obtained for the formation enthalpy at 0 K is -0.61 eV per formula unit. For the energy above the most stable polymorph in this dataset, the calculation gives 298 meV/atom. The density of states at the Fermi level is 0.57 states/eV/f.u. As for the volume: 30.29 A^3/atom.

---

Material: CaHfBi2
Method: DFT, PBE
State: relaxed

Cell: 5.379 5.379 5.379 Å, 60.00 60.00 60.00°
Element x y z (fractional)
Bi1 0.750 0.750 0.750
Bi2 0.250 0.250 0.250
Hf1 0.500 0.500 0.500
Ca1 0.000 0.000 0.000

Calculated values
Its final energy is -0.1883 hartree per atom. The value obtained for the formation enthalpy at 0 K is -0.77 eV per formula unit. For the energy above the most stable polymorph in this dataset, the calculation gives 258 meV/atom. The density of states at the Fermi level is 2.98 states/eV/f.u. As for the volume: 27.52 A^3/atom.

---

Material: CaHf2Bi2
Method: DFT, PBE
State: relaxed

Cell: 8.284 8.284 3.872 Å, 90.00 90.00 90.00°
Element x y z (fractional)
Hf1 0.135 0.635 0.500
Hf2 0.365 0.135 0.500
Hf3 0.865 0.365 0.500
Hf4 0.635 0.865 0.500
Ca1 0.000 0.000 0.000
Ca2 0.500 0.500 0.000
Bi1 0.653 0.153 0.000
Bi2 0.347 0.847 0.000
Bi3 0.847 0.653 0.000
Bi4 0.153 0.347 0.000

Calculated values
Its final energy is -0.2231 hartree per atom. The value obtained for the formation enthalpy at 0 K is -0.68 eV per formula unit. For the energy above the most stable polymorph in this dataset, the calculation gives 68 meV/atom. The density of states at the Fermi level is 2.38 states/eV/f.u. As for the volume: 26.57 A^3/atom.

---

Material: CaHfBi2
Method: DFT, PBE
State: relaxed

Cell: 3.673 3.673 8.186 Å, 90.00 90.00 90.00°
Element x y z (fractional)
Ca1 0.500 0.500 0.500
Bi1 0.000 0.000 0.224
Bi2 0.000 0.000 0.776
Hf1 0.500 0.500 0.000

Calculated values
Its final energy is -0.1926 hartree per atom. The value obtained for the formation enthalpy at 0 K is -1.25 eV per formula unit. For the energy above the most stable polymorph in this dataset, the calculation gives 140 meV/atom. The density of states at the Fermi level is 2.99 states/eV/f.u. As for the volume: 27.61 A^3/atom.

---

Material: CaHfBi2
Method: DFT, PBE
State: relaxed

Cell: 4.309 4.309 7.903 Å, 74.22 74.22 59.93°
Element x y z (fractional)
Bi1 0.258 0.258 0.227
Bi2 0.742 0.742 0.773
Hf1 0.000 0.000 0.000
Ca1 0.500 0.500 0.500

Calculated values
Its final energy is -0.1977 hartree per atom. The value obtained for the formation enthalpy at 0 K is -1.81 eV per formula unit. For the energy above the most stable polymorph in this dataset, the calculation gives 0 meV/atom. The density of states at the Fermi level is 1.09 states/eV/f.u. As for the volume: 30.15 A^3/atom.

---

Material: CaHfBi2
Method: DFT, PBE
State: relaxed

Cell: 3.943 3.943 10.532 Å, 79.21 79.21 60.00°
Element x y z (fractional)
Bi1 0.103 0.103 0.691
Bi2 0.897 0.897 0.309
Hf1 0.500 0.500 0.500
Ca1 0.000 0.000 0.000

Calculated values
Its final energy is -0.1812 hartree per atom. The value obtained for the formation enthalpy at 0 K is -0.01 eV per formula unit. For the energy above the most stable polymorph in this dataset, the calculation gives 450 meV/atom. The density of states at the Fermi level is 4.21 states/eV/f.u. As for the volume: 34.61 A^3/atom.

---

Material: CaHf2Bi
Method: DFT, PBE
State: relaxed

Cell: 8.652 8.652 6.833 Å, 50.72 50.72 90.00°
Element x y z (fractional)
Hf1 0.659 0.125 0.250
Hf2 0.875 0.909 0.750
Hf3 0.375 0.341 0.750
Hf4 0.091 0.625 0.250
Ca1 0.500 0.500 0.000
Ca2 0.250 0.750 0.500
Bi1 0.000 0.000 0.000
Bi2 0.750 0.250 0.500

Calculated values
Its final energy is -0.2187 hartree per atom. The value obtained for the formation enthalpy at 0 K is 1.98 eV per formula unit. The density of states at the Fermi level is 3.61 states/eV/f.u. As for the volume: 28.47 A^3/atom.

---

Material: CaHfBi2
Method: DFT, PBE
State: relaxed

Cell: 4.311 4.311 8.014 Å, 74.40 74.40 60.00°
Element x y z (fractional)
Hf1 0.668 0.668 0.996
Bi1 0.259 0.259 0.223
Bi2 0.074 0.074 0.777
Ca1 0.498 0.498 0.505

Calculated values
Its final energy is -0.1964 hartree per atom. The value obtained for the formation enthalpy at 0 K is -1.66 eV per formula unit. For the energy above the most stable polymorph in this dataset, the calculation gives 37 meV/atom. The density of states at the Fermi level is 1.28 states/eV/f.u. As for the volume: 30.65 A^3/atom.

---

Material: Ca2HfBi2
Method: DFT, PBE
State: relaxed

Cell: 8.035 8.035 4.602 Å, 90.00 90.00 90.00°
Element x y z (fractional)
Ca1 0.157 0.657 0.500
Ca2 0.843 0.343 0.500
Ca3 0.657 0.843 0.500
Ca4 0.343 0.157 0.500
Hf1 0.000 0.000 0.000
Hf2 0.500 0.500 0.000
Bi1 0.155 0.345 0.000
Bi2 0.345 0.845 0.000
Bi3 0.655 0.155 0.000
Bi4 0.845 0.655 0.000

Calculated values
Its final energy is -0.1748 hartree per atom. The value obtained for the formation enthalpy at 0 K is -2.07 eV per formula unit. The density of states at the Fermi level is 1.40 states/eV/f.u. As for the volume: 29.71 A^3/atom.

---

Material: CaHf2Bi2
Method: DFT, PBE
State: relaxed

Cell: 4.350 4.350 8.103 Å, 74.43 74.43 90.00°
Element x y z (fractional)
Hf1 0.250 0.750 0.500
Hf2 0.750 0.250 0.500
Bi1 0.391 0.391 0.219
Bi2 0.609 0.609 0.781
Ca1 0.000 0.000 0.000

Calculated values
Its final energy is -0.2256 hartree per atom. The value obtained for the formation enthalpy at 0 K is -1.02 eV per formula unit. For the energy above the most stable polymorph in this dataset, the calculation gives 0 meV/atom. The density of states at the Fermi level is 3.92 states/eV/f.u. As for the volume: 28.37 A^3/atom.

---

Material: Ca2HfBiIr
Method: DFT, PBE
State: relaxed

Cell: 5.803 5.803 5.000 Å, 90.00 90.00 90.00°
Element x y z (fractional)
Hf1 0.500 0.500 0.500
Ca1 0.500 0.000 0.000
Ca2 0.000 0.500 0.000
Bi1 0.000 0.000 0.000
Ir1 0.000 0.000 0.500

Calculated values
Its final energy is -0.1599 hartree per atom. The value obtained for the formation enthalpy at 0 K is 4.94 eV per formula unit. The density of states at the Fermi level is 6.19 states/eV/f.u. As for the volume: 33.67 A^3/atom.

---

Material: KCaHfBiO6
Method: DFT, PBE
State: relaxed

Cell: 5.886 5.886 5.886 Å, 60.00 60.00 60.00°
Element x y z (fractional)
O1 0.747 0.253 0.747
O2 0.253 0.747 0.747
O3 0.747 0.747 0.253
O4 0.747 0.253 0.253
O5 0.253 0.253 0.747
O6 0.253 0.747 0.253
Bi1 0.000 0.000 0.000
Hf1 0.500 0.500 0.500
Ca1 0.750 0.750 0.750
K1 0.250 0.250 0.250

Calculated values
Its final energy is -0.2511 hartree per atom. Its formation energy (no corrections) is -2.165 eV/atom. As for the volume: 14.42 A^3/atom.

---

Material: NaCaHfBiO6
Method: DFT, PBE
State: relaxed

Cell: 5.853 5.853 5.853 Å, 60.00 60.00 60.00°
Element x y z (fractional)
O1 0.748 0.252 0.748
O2 0.252 0.748 0.748
O3 0.252 0.252 0.748
O4 0.252 0.748 0.252
O5 0.748 0.748 0.252
O6 0.748 0.252 0.252
Bi1 0.000 0.000 0.000
Hf1 0.500 0.500 0.500
Na1 0.750 0.750 0.750
Ca1 0.250 0.250 0.250

Calculated values
Its final energy is -0.2508 hartree per atom. Its formation energy (no corrections) is -2.133 eV/atom. As for the volume: 14.18 A^3/atom.

---

Material: Ca2HfBiO6
Method: DFT, PBE
State: relaxed

Cell: 5.781 5.781 5.983 Å, 61.11 61.11 60.00°
Element x y z (fractional)
O1 0.469 0.690 0.756
O2 0.942 0.613 0.273
O3 0.172 0.942 0.273
O4 0.690 0.085 0.756
O5 0.085 0.469 0.756
O6 0.613 0.172 0.273
Bi1 0.312 0.312 0.064
Ca1 0.034 0.034 0.899
Ca2 0.531 0.531 0.407
Hf1 0.814 0.814 0.557

Calculated values
Its final energy is -0.2696 hartree per atom. Its formation energy (no corrections) is -2.576 eV/atom. The density of states at the Fermi level is 4.41 states/eV/f.u. As for the volume: 14.37 A^3/atom.

---

Material: CaHfBiOs
Method: DFT, PBE
State: relaxed

Cell: 3.346 3.346 8.435 Å, 90.00 90.00 90.00°
Element x y z (fractional)
Os1 0.500 0.500 0.485
Bi1 0.500 0.500 0.046
Ca1 0.000 0.000 0.720
Hf1 0.000 0.000 0.327

Calculated values
Its final energy is -0.2601 hartree per atom. The value obtained for the formation enthalpy at 0 K is -1.25 eV per formula unit. For the energy above the most stable polymorph in this dataset, the calculation gives 0 meV/atom. The density of states at the Fermi level is 1.19 states/eV/f.u. As for the volume: 23.61 A^3/atom.

---

Material: CaHfBiOs
Method: DFT, PBE
State: relaxed

Cell: 4.226 3.490 12.965 Å, 90.00 90.00 90.00°
Element x y z (fractional)
Hf1 0.000 0.000 0.290
Hf2 0.000 0.500 0.790
Bi1 0.000 0.500 0.485
Bi2 0.000 0.000 0.985
Os1 0.500 0.000 0.830
Os2 0.500 0.500 0.330
Ca1 0.500 0.500 0.106
Ca2 0.500 0.000 0.606

Calculated values
Its final energy is -0.2511 hartree per atom. The value obtained for the formation enthalpy at 0 K is -0.27 eV per formula unit. For the energy above the most stable polymorph in this dataset, the calculation gives 246 meV/atom. The density of states at the Fermi level is 1.15 states/eV/f.u. As for the volume: 23.90 A^3/atom.